Entry 1:
Here is crystalline Th2Al4PdAu3 at its relaxed geometry from the Alexandria database. Energies are from PBE.

Cell lengths 4.404, 4.404, 10.391 Å; angles 90.00, 90.00, 90.00 degrees
Positions (direct):
1 Au 0.000 0.000 0.500
2 Th 0.500 0.000 0.257
3 Al 0.500 0.000 0.627
4 Au 0.000 0.500 0.131
5 Al 0.000 0.500 0.373
6 Al 0.000 0.000 0.000
7 Pd 0.500 0.500 0.500
8 Al 0.500 0.500 0.000
9 Au 0.500 0.000 0.869
10 Th 0.000 0.500 0.743

Computed properties:
**DOS(E_F)**: 0.459 states/eV/atom
**Crystal system**: tetragonal
**Formation enthalpy at 0 K**: -7.410 eV/f.u.
**SG**: P-4m2



Entry 2:
Here is crystalline TmAl3PdAu at its relaxed geometry from the Alexandria database. Energies are from PBE.

Cell lengths 5.808, 6.057, 7.064 Å; angles 115.39, 90.00, 90.00 degrees
Positions (direct):
1 Al 0.000 0.713 0.000
2 Al 0.750 0.865 0.731
3 Tm 0.250 0.703 0.407
4 Al 0.000 0.287 0.000
5 Au 0.250 0.340 0.681
6 Al 0.500 0.287 0.000
7 Al 0.250 0.135 0.269
8 Pd 0.750 0.087 0.175
9 Al 0.500 0.713 0.000
10 Au 0.750 0.660 0.319
11 Pd 0.250 0.913 0.825
12 Tm 0.750 0.297 0.593

Computed properties:
**DOS(E_F)**: 0.299 states/eV/atom
**Crystal system**: orthorhombic
**Formation enthalpy at 0 K**: -3.207 eV/f.u.
**SG**: Cmcm



Entry 3:
Here is crystalline TmAlPdAu at its relaxed geometry from the Alexandria database. Energies are from PBE.

Cell lengths 4.719, 4.719, 4.719 Å; angles 60.00, 60.00, 60.00 degrees
Positions (direct):
1 Pd 0.500 0.500 0.500
2 Al 0.250 0.250 0.250
3 Tm 0.750 0.750 0.750
4 Au 0.000 0.000 0.000

Computed properties:
**DOS(E_F)**: 0.526 states/eV/atom
**Crystal system**: cubic
**Formation enthalpy at 0 K**: -3.160 eV/f.u.
**SG**: F-43m



Entry 4:
Here is crystalline AlVPdAu at its relaxed geometry from the Alexandria database. Energies are from PBE.

Cell lengths 4.459, 4.459, 4.459 Å; angles 60.00, 60.00, 60.00 degrees
Last column: magnetic moment on the atom in μB.
Positions (direct):
1 Au 0.000 0.000 0.000  0.05
2 Al 0.750 0.750 0.750  -0.01
3 Pd 0.500 0.500 0.500  0.07
4 V 0.250 0.250 0.250  1.90

Computed properties:
**DOS(E_F)**: 1.295 states/eV/atom
**Crystal system**: cubic
**Formation enthalpy at 0 K**: -1.163 eV/f.u.
**SG**: F-43m



Entry 5:
Here is crystalline Y2Al4Pd3Au at its relaxed geometry from the Alexandria database. Energies are from PBE.

Cell lengths 4.197, 4.197, 10.766 Å; angles 90.00, 90.00, 90.00 degrees
Positions (direct):
1 Pd 0.500 0.000 0.865
2 Au 0.500 0.500 0.500
3 Al 0.500 0.500 0.000
4 Al 0.000 0.000 0.000
5 Y 0.000 0.500 0.757
6 Pd 0.000 0.500 0.135
7 Al 0.500 0.000 0.636
8 Pd 0.000 0.000 0.500
9 Al 0.000 0.500 0.364
10 Y 0.500 0.000 0.243

Computed properties:
**DOS(E_F)**: 0.504 states/eV/atom
**Crystal system**: tetragonal
**Formation enthalpy at 0 K**: -8.260 eV/f.u.
**SG**: P-4m2



Entry 6:
Here is crystalline YAl4Pd2Au at its relaxed geometry from the Alexandria database. Energies are from PBE.

Cell lengths 4.303, 4.303, 9.253 Å; angles 76.55, 76.55, 60.00 degrees
Positions (direct):
1 Pd 0.754 0.754 0.739
2 Pd 0.246 0.246 0.261
3 Al 0.126 0.126 0.622
4 Y 0.000 0.000 0.000
5 Al 0.600 0.600 0.201
6 Al 0.874 0.874 0.378
7 Al 0.400 0.400 0.799
8 Au 0.500 0.500 0.500

Computed properties:
**DOS(E_F)**: 0.339 states/eV/atom
**Crystal system**: trigonal
**Formation enthalpy at 0 K**: -5.130 eV/f.u.
**SG**: R-3m



Entry 7:
Here is crystalline Y2AlPdAu at its relaxed geometry from the Alexandria database. Energies are from PBE.

Cell lengths 5.508, 4.642, 5.508 Å; angles 90.00, 90.00, 90.00 degrees
Positions (direct):
1 Y 0.500 0.000 0.000
2 Pd 0.500 0.500 0.500
3 Al 0.000 0.500 0.000
4 Au 0.000 0.000 0.000
5 Y 0.000 0.000 0.500

Computed properties:
**DOS(E_F)**: 0.382 states/eV/atom
**Crystal system**: tetragonal
**Formation enthalpy at 0 K**: -0.338 eV/f.u.
**SG**: P4/mmm



Entry 8:
Here is crystalline YAl3PdAu at its relaxed geometry from the Alexandria database. Energies are from PBE.

Cell lengths 5.880, 6.073, 7.081 Å; angles 115.39, 90.00, 90.00 degrees
Positions (direct):
1 Al 0.000 0.287 0.000
2 Pd 0.250 0.916 0.833
3 Y 0.750 0.295 0.590
4 Al 0.500 0.287 0.000
5 Au 0.750 0.658 0.317
6 Al 0.250 0.135 0.269
7 Al 0.750 0.865 0.731
8 Au 0.250 0.342 0.683
9 Y 0.250 0.705 0.410
10 Al 0.000 0.713 0.000
11 Pd 0.750 0.084 0.167
12 Al 0.500 0.713 0.000

Computed properties:
**DOS(E_F)**: 0.340 states/eV/atom
**Crystal system**: orthorhombic
**Formation enthalpy at 0 K**: -3.261 eV/f.u.
**SG**: Cmcm



Entry 9:
Here is crystalline AlZnPdAu at its relaxed geometry from the Alexandria database. Energies are from PBE.

Cell lengths 3.118, 3.118, 6.337 Å; angles 90.00, 90.00, 90.00 degrees
Positions (direct):
1 Au 0.500 0.500 0.114
2 Al 0.000 0.000 0.373
3 Zn 0.000 0.000 0.845
4 Pd 0.500 0.500 0.595

Computed properties:
**DOS(E_F)**: 0.307 states/eV/atom
**Crystal system**: tetragonal
**Formation enthalpy at 0 K**: -2.051 eV/f.u.
**SG**: P4mm



Entry 10:
Here is crystalline Pm3Al2Au9 at its relaxed geometry from the Alexandria database. Energies are from PBE.

Cell lengths 4.213, 8.709, 8.709 Å; angles 77.00, 76.00, 76.00 degrees
Positions (direct):
1 Au 0.649 0.724 0.979
2 Pm 0.702 0.298 0.298
3 Au 0.351 0.021 0.276
4 Au 0.132 0.574 0.162
5 Au 0.000 0.500 0.500
6 Au 0.351 0.276 0.021
7 Al 0.500 0.695 0.305
8 Au 0.649 0.979 0.724
9 Au 0.868 0.838 0.426
10 Pm 0.000 0.000 0.000
11 Pm 0.298 0.702 0.702
12 Au 0.132 0.162 0.574
13 Al 0.500 0.305 0.695
14 Au 0.868 0.426 0.838

Computed properties:
**DOS(E_F)**: 0.408 states/eV/atom
**Crystal system**: orthorhombic
**Formation enthalpy at 0 K**: -8.724 eV/f.u.
**SG**: Immm



Entry 11:
Here is crystalline PmAlAu11 at its relaxed geometry from the Alexandria database. Energies are from PBE.

Cell lengths 5.532, 7.200, 7.258 Å; angles 82.50, 67.60, 69.98 degrees
Positions (direct):
1 Au 0.998 0.651 0.340
2 Al 0.500 0.500 0.000
3 Au 0.521 0.218 0.791
4 Au 0.000 0.000 0.500
5 Au 0.688 0.782 0.791
6 Au 0.338 0.651 0.660
7 Au 0.500 0.000 0.500
8 Au 0.479 0.782 0.209
9 Au 0.312 0.218 0.209
10 Au 0.000 0.500 0.000
11 Pm 0.000 0.000 0.000
12 Au 0.002 0.349 0.660
13 Au 0.662 0.349 0.340

Computed properties:
**DOS(E_F)**: 0.302 states/eV/atom
**Crystal system**: monoclinic
**Formation enthalpy at 0 K**: -3.570 eV/f.u.
**SG**: C2/m



Entry 12:
Here is crystalline Pm2Al6Au21 at its relaxed geometry from the Alexandria database. Energies are from PBE.

Cell lengths 9.688, 9.387, 9.209 Å; angles 60.63, 61.62, 52.05 degrees
Positions (direct):
1 Au 0.365 0.371 0.396
2 Al 0.713 0.279 0.242
3 Au 0.562 0.278 0.080
4 Au 0.673 0.976 0.389
5 Au 0.981 0.339 0.666
6 Au 0.019 0.661 0.334
7 Au 0.981 0.339 0.014
8 Au 0.019 0.661 0.986
9 Au 0.790 0.372 0.419
10 Au 0.327 0.024 0.611
11 Au 0.327 0.024 0.039
12 Au 0.635 0.629 0.132
13 Au 0.438 0.722 0.920
14 Au 0.396 0.840 0.382
15 Pm 0.184 0.279 0.269
16 Al 0.287 0.721 0.758
17 Au 0.000 0.000 0.654
18 Al 0.751 0.731 0.259
19 Au 0.635 0.629 0.604
20 Au 0.365 0.371 0.868
21 Au 0.604 0.160 0.618
22 Au 0.000 0.000 0.000
23 Al 0.287 0.721 0.234
24 Au 0.210 0.628 0.581
25 Au 0.000 0.000 0.346
26 Pm 0.816 0.721 0.731
27 Al 0.249 0.269 0.741
28 Au 0.673 0.976 0.961
29 Al 0.713 0.279 0.766

Computed properties:
**DOS(E_F)**: 0.263 states/eV/atom
**Crystal system**: monoclinic
**Formation enthalpy at 0 K**: -9.957 eV/f.u.
**SG**: C2/m



> Among the records above, which one has the highest DOS(E_F)?

AlVPdAu